1.
Ca8Cd2Ir | PBE | optimized geometry

Unit cell a=9.8305 b=9.8305 c=7.1762 alpha=108.41 beta=108.41 gamma=32.32
Fractional coordinates of all 11 atoms:
Ca (0.0213, 0.0213, 0.2981)
Ca (0.2083, 0.2083, 0.7938)
Ca (0.3539, 0.3539, 0.5462)
Ca (0.4090, 0.4090, 0.0894)
Ca (0.5910, 0.5910, 0.9106)
Ca (0.6461, 0.6461, 0.4538)
Ca (0.7917, 0.7917, 0.2062)
Ca (0.9787, 0.9787, 0.7019)
Cd (0.1817, 0.1817, 0.2152)
Cd (0.8183, 0.8183, 0.7848)
Ir (0.5000, 0.5000, 0.5000)

Summary:
DOS at the Fermi energy (states/eV/cell): 10.613
Symmetry: C2/m (12)
Energy relative to the lowest polymorph listed for this composition (eV per formula unit): 0.00
Energy relative to the elements (eV per atom): -0.2206
Magnetization (μB per cell): 0.0

=====

2.
AlRh2N | PBE | optimized geometry

Unit cell a=5.8347 b=5.8347 c=5.8347 alpha=90.00 beta=90.00 gamma=90.00
Fractional coordinates of all 16 atoms:
Al (0.0000, 0.0000, 0.0000)
Al (0.0000, 0.5000, 0.5000)
Al (0.5000, 0.0000, 0.5000)
Al (0.5000, 0.5000, 0.0000)
Rh (0.2500, 0.2500, 0.2500)
Rh (0.2500, 0.2500, 0.7500)
Rh (0.2500, 0.7500, 0.2500)
Rh (0.2500, 0.7500, 0.7500)
Rh (0.7500, 0.2500, 0.2500)
Rh (0.7500, 0.2500, 0.7500)
Rh (0.7500, 0.7500, 0.2500)
Rh (0.7500, 0.7500, 0.7500)
N (0.0000, 0.0000, 0.5000)
N (0.0000, 0.5000, 0.0000)
N (0.5000, 0.0000, 0.0000)
N (0.5000, 0.5000, 0.5000)

Summary:
DOS at the Fermi energy (states/eV/cell): 20.159
Uncorrected formation energy (meV/atom): 563
Symmetry: Fm-3m (225)
Energy relative to the lowest polymorph listed for this composition (eV per formula unit): 1.83
Magnetization (μB per cell): 3.7

=====

3.
UNi2H8Rh | PBE | optimized geometry

Unit cell a=6.2524 b=6.2524 c=6.2524 alpha=40.22 beta=40.22 gamma=40.22
Fractional coordinates of all 12 atoms:
U (0.0000, 0.0000, 0.0000)
Ni (0.2459, 0.2459, 0.2459)
Ni (0.7541, 0.7541, 0.7541)
H (0.1397, 0.3965, 0.7975)
H (0.2025, 0.8603, 0.6035)
H (0.3349, 0.3349, 0.3349)
H (0.3965, 0.7975, 0.1397)
H (0.6035, 0.2025, 0.8603)
H (0.6651, 0.6651, 0.6651)
H (0.7975, 0.1397, 0.3965)
H (0.8603, 0.6035, 0.2025)
Rh (0.5000, 0.5000, 0.5000)

Summary:
DOS at the Fermi energy (states/eV/cell): 1.798
Symmetry: R-3 (148)
VASP energy (eV per atom): -4.838
Magnetization (μB per cell): 1.0

=====

4.
KSI2 | PBE | optimized geometry

Unit cell a=8.3095 b=8.3095 c=8.3095 alpha=90.00 beta=90.00 gamma=90.00
Fractional coordinates of all 16 atoms:
K (0.0000, 0.0000, 0.0000)
K (0.0000, 0.5000, 0.5000)
K (0.5000, 0.0000, 0.5000)
K (0.5000, 0.5000, 0.0000)
S (0.0000, 0.0000, 0.5000)
S (0.0000, 0.5000, 0.0000)
S (0.5000, 0.0000, 0.0000)
S (0.5000, 0.5000, 0.5000)
I (0.2500, 0.2500, 0.2500)
I (0.2500, 0.2500, 0.7500)
I (0.2500, 0.7500, 0.2500)
I (0.2500, 0.7500, 0.7500)
I (0.7500, 0.2500, 0.2500)
I (0.7500, 0.2500, 0.7500)
I (0.7500, 0.7500, 0.2500)
I (0.7500, 0.7500, 0.7500)

Summary:
DOS at the Fermi energy (states/eV/cell): 3.721
Uncorrected formation energy (meV/atom): -50
Symmetry: Fm-3m (225)
Energy relative to the lowest polymorph listed for this composition (eV per formula unit): 1.12
Magnetization (μB per cell): 12.0

=====

5.
BaPm6Se8 | PBE | optimized geometry

Unit cell a=11.1393 b=11.1393 c=4.2995 alpha=90.00 beta=90.00 gamma=120.00
Fractional coordinates of all 15 atoms:
Ba (0.0000, 0.0000, 0.0000)
Pm (0.1347, 0.4801, 0.2524)
Pm (0.3454, 0.8653, 0.2524)
Pm (0.4801, 0.3454, 0.7476)
Pm (0.5199, 0.6546, 0.2524)
Pm (0.6546, 0.1347, 0.7476)
Pm (0.8653, 0.5199, 0.7476)
Se (0.0437, 0.6975, 0.2449)
Se (0.3025, 0.3462, 0.2449)
Se (0.3333, 0.6667, 0.7527)
Se (0.3462, 0.0437, 0.7551)
Se (0.6538, 0.9563, 0.2449)
Se (0.6667, 0.3333, 0.2473)
Se (0.6975, 0.6538, 0.7551)
Se (0.9563, 0.3025, 0.7551)

Summary:
DOS at the Fermi energy (states/eV/cell): 11.697
Uncorrected formation energy (meV/atom): -1727
Symmetry: P-3 (147)
Magnetization (μB per cell): 1.5

=====

6.
PdRhPb2 | PBE | optimized geometry

Unit cell a=3.6559 b=7.1051 c=7.6794 alpha=111.01 beta=103.68 gamma=90.08
Fractional coordinates of all 8 atoms:
Pd (0.0963, 0.1635, 0.1924)
Pd (0.9037, 0.8365, 0.8076)
Rh (0.3869, 0.5016, 0.7763)
Rh (0.6131, 0.4984, 0.2237)
Pb (0.2483, 0.6991, 0.4947)
Pb (0.4404, 0.1708, 0.8793)
Pb (0.5596, 0.8292, 0.1207)
Pb (0.7517, 0.3009, 0.5053)

Summary:
DOS at the Fermi energy (states/eV/cell): 4.414
Symmetry: P-1 (2)
Energy relative to the lowest polymorph listed for this composition (eV per formula unit): 0.36
Energy relative to the elements (eV per atom): -0.0188
Magnetization (μB per cell): 0.0

=====

7.
LiPm2Pu3S6 | PBE | optimized geometry

Unit cell a=6.8904 b=6.8904 c=6.8767 alpha=99.64 beta=99.64 gamma=119.99
Fractional coordinates of all 12 atoms:
Li (0.0000, 0.0000, 0.0000)
Pm (0.3336, 0.6664, 0.0000)
Pm (0.6664, 0.3336, 0.0000)
Pu (0.1676, 0.8324, 0.5000)
Pu (0.5000, 0.5000, 0.5000)
Pu (0.8324, 0.1676, 0.5000)
S (0.0836, 0.4103, 0.2513)
S (0.2426, 0.2426, 0.7474)
S (0.4103, 0.0836, 0.2513)
S (0.5897, 0.9164, 0.7487)
S (0.7574, 0.7574, 0.2526)
S (0.9164, 0.5897, 0.7487)

Summary:
DOS at the Fermi energy (states/eV/cell): 22.586
Uncorrected formation energy (meV/atom): -1807
Symmetry: C2/m (12)
Magnetization (μB per cell): 17.1

=====

8.
HfPaPd2 | PBE | optimized geometry

Unit cell a=3.3170 b=3.3170 c=7.2034 alpha=90.00 beta=90.00 gamma=90.00
Fractional coordinates of all 4 atoms:
Hf (0.0000, 0.0000, 0.0000)
Pa (0.0000, 0.0000, 0.5000)
Pd (0.5000, 0.5000, 0.2155)
Pd (0.5000, 0.5000, 0.7845)

Summary:
DOS at the Fermi energy (states/eV/cell): 5.106
Symmetry: P4/mmm (123)
Energy relative to the lowest polymorph listed for this composition (eV per formula unit): 0.00
Energy relative to the elements (eV per atom): -0.5166
Magnetization (μB per cell): 0.5

=====

9.
BaZnHg2 | PBE | optimized geometry

Unit cell a=4.0375 b=4.0375 c=7.1824 alpha=90.00 beta=90.00 gamma=90.00
Fractional coordinates of all 4 atoms:
Ba (0.0000, 0.0000, 0.0000)
Zn (0.5000, 0.5000, 0.6961)
Hg (0.0000, 0.0000, 0.5256)
Hg (0.5000, 0.5000, 0.2936)

Summary:
DOS at the Fermi energy (states/eV/cell): 1.978
Symmetry: P4mm (99)
Energy relative to the elements (eV per atom): -0.2046
Magnetization (μB per cell): 0.0

=====

10.
NbSe2Cl | PBE | optimized geometry

Unit cell a=3.5713 b=3.5713 c=25.1410 alpha=90.00 beta=90.00 gamma=120.00
Fractional coordinates of all 12 atoms:
Nb (0.0000, 0.0000, 0.0000)
Nb (0.3333, 0.6667, 0.6667)
Nb (0.6667, 0.3333, 0.3333)
Se (0.0000, 0.0000, 0.3980)
Se (0.0000, 0.0000, 0.6020)
Se (0.3333, 0.6667, 0.0646)
Se (0.3333, 0.6667, 0.2687)
Se (0.6667, 0.3333, 0.7313)
Se (0.6667, 0.3333, 0.9354)
Cl (0.0000, 0.0000, 0.5000)
Cl (0.3333, 0.6667, 0.1667)
Cl (0.6667, 0.3333, 0.8333)

Summary:
DOS at the Fermi energy (states/eV/cell): 2.159
Uncorrected formation energy (meV/atom): -560
Symmetry: R-3m (166)
Energy relative to the lowest polymorph listed for this composition (eV per formula unit): 0.86
Magnetization (μB per cell): 0.0

=====

11.
CrPt2PbCl | PBE | optimized geometry

Unit cell a=4.6000 b=4.6000 c=5.4446 alpha=90.00 beta=90.00 gamma=90.00
Fractional coordinates of all 5 atoms:
Cr (0.0000, 0.0000, 0.0000)
Pt (0.0000, 0.5000, 0.5000)
Pt (0.5000, 0.0000, 0.5000)
Pb (0.5000, 0.5000, 0.0000)
Cl (0.5000, 0.5000, 0.5000)

Summary:
DOS at the Fermi energy (states/eV/cell): 3.585
Uncorrected formation energy (meV/atom): 995
Symmetry: P4/mmm (123)
Magnetization (μB per cell): 4.3

=====

12.
SrMnFe2 | PBE | optimized geometry

Unit cell a=4.6368 b=4.6368 c=6.6603 alpha=90.00 beta=90.00 gamma=90.00
Fractional coordinates of all 8 atoms:
Sr (0.0000, 0.0000, 0.0000)
Sr (0.5000, 0.5000, 0.5000)
Mn (0.0000, 0.5000, 0.2500)
Mn (0.5000, 0.0000, 0.7500)
Fe (0.0000, 0.0000, 0.5000)
Fe (0.0000, 0.5000, 0.7500)
Fe (0.5000, 0.0000, 0.2500)
Fe (0.5000, 0.5000, 0.0000)

Summary:
DOS at the Fermi energy (states/eV/cell): 12.984
Symmetry: I-4m2 (119)
Energy relative to the elements (eV per atom): 0.8859
Magnetization (μB per cell): 17.1

=====

Please write out number 2 again, unchanged.
AlRh2N | PBE | optimized geometry

Unit cell a=5.8347 b=5.8347 c=5.8347 alpha=90.00 beta=90.00 gamma=90.00
Fractional coordinates of all 16 atoms:
Al (0.0000, 0.0000, 0.0000)
Al (0.0000, 0.5000, 0.5000)
Al (0.5000, 0.0000, 0.5000)
Al (0.5000, 0.5000, 0.0000)
Rh (0.2500, 0.2500, 0.2500)
Rh (0.2500, 0.2500, 0.7500)
Rh (0.2500, 0.7500, 0.2500)
Rh (0.2500, 0.7500, 0.7500)
Rh (0.7500, 0.2500, 0.2500)
Rh (0.7500, 0.2500, 0.7500)
Rh (0.7500, 0.7500, 0.2500)
Rh (0.7500, 0.7500, 0.7500)
N (0.0000, 0.0000, 0.5000)
N (0.0000, 0.5000, 0.0000)
N (0.5000, 0.0000, 0.0000)
N (0.5000, 0.5000, 0.5000)

Summary:
DOS at the Fermi energy (states/eV/cell): 20.159
Uncorrected formation energy (meV/atom): 563
Symmetry: Fm-3m (225)
Energy relative to the lowest polymorph listed for this composition (eV per formula unit): 1.83
Magnetization (μB per cell): 3.7

=====

Which of these has the highest DOS at the Fermi energy? LiPm2Pu3S6